Record 1
Here is crystalline Nd3Mg2 at its relaxed geometry from the Open Quantum Materials Database. Energies are from PBE.

Lattice parameters (Å, degrees): 8.4009 8.4009 8.4009 57.12 57.12 57.12
Sites, in units of the cell vectors:
Nd1 0.0498 0.7500 0.4502
Nd2 0.2500 0.5498 0.9502
Nd3 0.4502 0.0498 0.7500
Nd4 0.5498 0.9502 0.2500
Nd5 0.7500 0.4502 0.0498
Nd6 0.9502 0.2500 0.5498
Mg1 0.1514 0.1514 0.1514
Mg2 0.3486 0.3486 0.3486
Mg3 0.6514 0.6514 0.6514
Mg4 0.8486 0.8486 0.8486

Crystal system: trigonal
Calculated total energy (eV per atom): -2.911
Symmetry: R-3c, No. 167

=====

Record 2
Here is crystalline Pr3NiSn3Ir2 at its relaxed geometry from the Open Quantum Materials Database. Energies are from PBE.

Lattice parameters (Å, degrees): 7.5368 7.5368 4.1219 90.00 90.00 120.00
Sites, in units of the cell vectors:
Pr1 0.0000 0.5878 0.0000
Pr2 0.4122 0.4122 0.0000
Pr3 0.5878 0.0000 0.0000
Ni1 0.0000 0.0000 0.0000
Sn1 0.0000 0.2465 0.5000
Sn2 0.2465 0.0000 0.5000
Sn3 0.7535 0.7535 0.5000
Ir1 0.3333 0.6667 0.5000
Ir2 0.6667 0.3333 0.5000

Crystal system: hexagonal
Calculated total energy (eV per atom): -6.224
Symmetry: P-62m, No. 189

=====

Record 3
Here is crystalline BeGeW at its relaxed geometry from the Open Quantum Materials Database. Energies are from PBE.

Lattice parameters (Å, degrees): 5.5473 5.5473 5.5473 90.00 90.00 90.00
Sites, in units of the cell vectors:
Be1 0.0000 0.0000 0.0000
Be2 0.0000 0.5000 0.5000
Be3 0.5000 0.0000 0.5000
Be4 0.5000 0.5000 0.0000
Ge1 0.2500 0.2500 0.7500
Ge2 0.2500 0.7500 0.2500
Ge3 0.7500 0.2500 0.2500
Ge4 0.7500 0.7500 0.7500
W1 0.2500 0.2500 0.2500
W2 0.2500 0.7500 0.7500
W3 0.7500 0.2500 0.7500
W4 0.7500 0.7500 0.2500

Crystal system: cubic
Calculated total energy (eV per atom): -6.402
Symmetry: F-43m, No. 216

=====

Record 4
Here is crystalline TbSbN2O at its relaxed geometry from the Open Quantum Materials Database. Energies are from PBE.

Lattice parameters (Å, degrees): 7.8331 5.5928 5.7801 90.00 90.00 90.00
Sites, in units of the cell vectors:
Tb1 0.0000 0.2358 0.0000
Tb2 0.0000 0.7642 0.5000
Tb3 0.5000 0.2545 0.8818
Tb4 0.5000 0.7455 0.3818
Sb1 0.2459 0.2375 0.4443
Sb2 0.2459 0.7625 0.9443
Sb3 0.7541 0.2375 0.4443
Sb4 0.7541 0.7625 0.9443
N1 0.0000 0.3696 0.3938
N2 0.0000 0.6304 0.8938
N3 0.2006 0.0675 0.7537
N4 0.2006 0.9325 0.2537
N5 0.5000 0.1534 0.4819
N6 0.5000 0.8466 0.9819
N7 0.7994 0.0675 0.7537
N8 0.7994 0.9325 0.2537
O1 0.3083 0.4475 0.1423
O2 0.3083 0.5525 0.6423
O3 0.6917 0.4475 0.1423
O4 0.6917 0.5525 0.6423

Crystal system: orthorhombic
Calculated total energy (eV per atom): -7.045
Symmetry: Pmc2_1, No. 26

=====

Record 5
Here is crystalline ZnPdNO at its relaxed geometry from the Open Quantum Materials Database. Energies are from PBE.

Lattice parameters (Å, degrees): 4.2714 4.2714 4.6376 90.00 90.00 90.00
Sites, in units of the cell vectors:
Zn1 0.0000 0.5000 0.0000
Zn2 0.5000 0.0000 0.0000
Pd1 0.0000 0.0000 0.4776
Pd2 0.5000 0.5000 0.5211
N1 0.0000 0.0000 0.9854
N2 0.5000 0.5000 0.0158
O1 0.0000 0.5000 0.5006
O2 0.5000 0.0000 0.5006

Crystal system: tetragonal
Calculated total energy (eV per atom): -4.733
Symmetry: P4mm, No. 99

=====

Record 6
Here is crystalline GdPbAuO3 at its relaxed geometry from the Open Quantum Materials Database. Energies are from PBE.

Lattice parameters (Å, degrees): 8.3050 8.3050 7.9047 90.00 90.00 157.44
Sites, in units of the cell vectors:
Gd1 0.0000 0.0000 0.0000
Gd2 0.0000 0.0000 0.5000
Pb1 0.3138 0.6862 0.7500
Pb2 0.6862 0.3138 0.2500
Au1 0.4096 0.5904 0.2500
Au2 0.5904 0.4096 0.7500
O1 0.1283 0.8717 0.0805
O2 0.1283 0.8717 0.4195
O3 0.2771 0.7229 0.2500
O4 0.7229 0.2771 0.7500
O5 0.8717 0.1283 0.5805
O6 0.8717 0.1283 0.9195

Crystal system: orthorhombic
Calculated total energy (eV per atom): -5.386
Symmetry: Cmcm, No. 63

=====

Record 7
Here is crystalline Tb2GdNiSn3Ir2 at its relaxed geometry from the Open Quantum Materials Database. Energies are from PBE.

Lattice parameters (Å, degrees): 3.8400 7.5361 7.5361 120.02 90.00 90.00
Sites, in units of the cell vectors:
Tb1 0.0000 0.2029 0.7971
Tb2 0.0000 0.7971 0.2029
Gd1 0.0000 0.3912 0.3912
Ni1 0.0000 0.7972 0.7972
Sn1 0.5000 0.0521 0.0521
Sn2 0.5000 0.5420 0.7973
Sn3 0.5000 0.7973 0.5420
Ir1 0.5000 0.1302 0.4638
Ir2 0.5000 0.4638 0.1302

Crystal system: orthorhombic
Calculated total energy (eV per atom): -6.256
Symmetry: Amm2, No. 38

=====

Record 8
Here is crystalline FeCu4NiSn2 at its relaxed geometry from the Open Quantum Materials Database. Energies are from PBE.

Lattice parameters (Å, degrees): 4.2663 4.2663 6.1711 90.00 90.00 90.00
Sites, in units of the cell vectors:
Fe1 0.0000 0.0000 0.0000
Cu1 0.0000 0.5000 0.2532
Cu2 0.0000 0.5000 0.7468
Cu3 0.5000 0.0000 0.2532
Cu4 0.5000 0.0000 0.7468
Ni1 0.5000 0.5000 0.5000
Sn1 0.0000 0.0000 0.5000
Sn2 0.5000 0.5000 0.0000

Crystal system: tetragonal
Calculated total energy (eV per atom): -4.483
Symmetry: P4/mmm, No. 123